Below is crystalline Cs2CdCuH6 at its relaxed geometry, with properties calculated at the PBE level.

Values from the calculation:
Space group: I4/mmm, No. 139

abc: 5.9485 5.9485 6.4408
angles: 62.48 62.48 90.00
Fractional positions:
1 H 0.6942 0.3058 0.0000
2 H 0.1803 0.1803 0.6395
3 H 0.6942 0.6942 0.0000
4 H 0.8197 0.8197 0.3605
5 H 0.3058 0.3058 0.0000
6 H 0.3058 0.6942 0.0000
7 Cd 0.0000 0.0000 0.0000
8 Cu 0.5000 0.5000 0.0000
9 Cs 0.2500 0.7500 0.5000
10 Cs 0.7500 0.2500 0.5000

=====

Below is crystalline Si2TcTe at its relaxed geometry, with properties calculated at the PBE level.

Values from the calculation:
Energy relative to the elements, uncorrected in eV/atom: 0.18
Space group: R-3m, No. 166

abc: 8.9036 8.9036 8.9036
angles: 19.93 19.93 19.93
Fractional positions:
1 Te 0.7500 0.7500 0.7500
2 Si 0.5170 0.5170 0.5170
3 Si 0.9830 0.9830 0.9830
4 Tc 0.2500 0.2500 0.2500

=====

Below is crystalline SmPu3As4 at its relaxed geometry, with properties calculated at the PBE level.

Values from the calculation:
Offset from the most stable computed form in eV per formula unit: 0.000
E_form in eV per formula unit: -9.11
Space group: Pm-3m, No. 221

abc: 5.8753 5.8753 5.8753
angles: 90.00 90.00 90.00
Fractional positions:
1 As 0.0000 0.5000 0.0000
2 As 0.0000 0.0000 0.5000
3 Pu 0.5000 0.5000 0.0000
4 Pu 0.5000 0.0000 0.5000
5 Sm 0.0000 0.0000 0.0000
6 As 0.5000 0.0000 0.0000
7 Pu 0.0000 0.5000 0.5000
8 As 0.5000 0.5000 0.5000

=====

| no. | VASP energy (eV/atom) |
| --- | --- |
| 1 | -2.673 |
| 2 | -5.909 |
| 3 | -9.428 |